Entry 1:
A plane-wave DFT calculation with SCAN was carried out for KNaLi2In at its PBEsol-relaxed geometry.

## Properties
M_tot in Bohr magnetons per cell: 0.046
Volume in Å³/cell: 174.6
Formation enthalpy at 0 K in eV/atom: 0.209
SG: P4/mmm, No. 123

Cell and atoms, written as extended XYZ:
```
5
Lattice="5.5296 0.0000 0.0000 0.0000 5.5296 0.0000 0.0000 0.0000 5.7105" Properties=species:S:1:pos:R:3 pbc="T T T"
K 0.0000 0.0000 0.0000
Na 2.7648 2.7648 2.8552
Li 0.0000 2.7648 2.8552
Li 2.7648 0.0000 2.8552
In 2.7648 2.7648 0.0000
```

---

Entry 2:
A plane-wave DFT calculation with SCAN was carried out for Co2RhBrO at its PBEsol-relaxed geometry.

## Properties
E_form (uncorrected) in eV/atom: 1.29
M_tot in Bohr magnetons per cell: 6.411
Volume in Å³/cell: 97.0
SG: P4/mmm, No. 123

Cell and atoms, written as extended XYZ:
```
5
Lattice="4.5879 0.0000 0.0000 0.0000 4.5879 0.0000 0.0000 0.0000 4.6077" Properties=species:S:1:pos:R:3 pbc="T T T"
Co 0.0000 2.2939 0.0000
Co 2.2939 0.0000 0.0000
Rh 0.0000 0.0000 0.0000
Br 0.0000 0.0000 2.3039
O 2.2939 2.2939 2.3039
```

---

Which formula does entry 1 have?
KNaLi2In

---

Please write out number 2 again, unchanged.
A plane-wave DFT calculation with SCAN was carried out for Co2RhBrO at its PBEsol-relaxed geometry.

## Properties
E_form (uncorrected) in eV/atom: 1.29
M_tot in Bohr magnetons per cell: 6.411
Volume in Å³/cell: 97.0
SG: P4/mmm, No. 123

Cell and atoms, written as extended XYZ:
```
5
Lattice="4.5879 0.0000 0.0000 0.0000 4.5879 0.0000 0.0000 0.0000 4.6077" Properties=species:S:1:pos:R:3 pbc="T T T"
Co 0.0000 2.2939 0.0000
Co 2.2939 0.0000 0.0000
Rh 0.0000 0.0000 0.0000
Br 0.0000 0.0000 2.3039
O 2.2939 2.2939 2.3039
```